Here is crystalline P4S9 at its relaxed geometry from Alexandria via LeMat-Bulk. Energies are from PBEsol.

```
52
Lattice="8.871 0.000 0.000 0.000 12.305 0.000 -5.561 0.000 12.037" Properties=species:S:1:pos:R:3 pbc="T T T"
P -2.659 2.961 5.832
P -5.440 3.192 11.850
P -3.023 1.046 10.699
P -0.243 5.107 4.681
P 1.976 1.334 2.018
P -0.805 4.819 8.036
P 0.671 2.179 6.332
P 3.452 3.974 0.314
P -0.141 8.331 11.722
P 2.639 10.126 5.704
P 4.115 7.486 4.000
P 1.335 10.971 10.018
P 3.553 7.198 7.356
P 6.334 11.259 1.337
P 8.750 9.113 0.187
P 5.970 9.344 6.205
S -3.417 8.014 7.755
S -0.636 10.443 1.737
S 0.064 2.135 1.633
S -2.716 4.017 7.651
S -1.265 1.415 5.930
S -4.046 4.738 11.948
S 0.231 6.315 3.267
S -2.549 12.142 9.286
S 1.632 8.397 0.540
S -1.148 10.060 6.558
S -0.301 6.165 6.504
S 2.479 12.293 0.486
S -1.622 2.579 10.830
S 1.159 3.574 4.812
S 1.879 0.348 3.685
S -0.901 5.804 9.703
S 3.369 2.886 2.134
S 0.588 3.266 8.152
S 2.722 9.039 3.884
S -0.058 9.419 9.902
S 4.212 6.501 2.333
S 1.431 11.957 8.351
S 2.152 8.731 7.224
S 4.932 9.726 1.206
S 0.832 0.012 11.551
S 3.612 6.140 5.533
S 4.459 2.245 5.478
S 1.678 3.908 11.497
S 5.860 0.162 2.751
S 3.080 5.990 8.769
S 7.356 7.567 0.089
S 4.576 10.890 6.107
S 6.027 8.288 4.386
S 3.247 10.170 10.404
S 3.947 1.862 10.299
S 6.727 4.291 4.281
```

Properties
As for the calculated volume: 25.268 Å³/atom. As for the symmetry: P2_1/c. The calculation puts the formation energy from raw total energies at -0.16 eV per atom. The density of states at the Fermi level is 0.00 states/eV/cell.